{"formula": "MoH12C2N6O4", "functional": "PBEsol", "state": "relaxed", "dos_at_fermi_per_ev_cell": 0.00, "magmom_total_mub_per_fu": 0.00, "sg": "P2_1/m", "dft_energy_ev_per_atom": -6.44, "lattice_angstrom": [[-4.796, -1.349, -4.140], [-2.678, -4.521, 4.575], [-4.653, 7.952, 5.135]], "species": ["N", "O", "O", "O", "H", "Mo", "H", "N", "O", "H", "N", "N", "N", "O", "H", "H", "C", "H", "H", "C", "H", "H", "H", "N", "H", "N", "N", "N", "N", "H", "H", "H", "H", "O", "N", "H", "H", "H", "O", "Mo", "C", "H", "N", "H", "H", "C", "O", "H", "H", "H"], "frac_coords": [[0.312, 0.918, 0.884], [0.495, 0.750, 0.207], [0.107, 0.539, 0.182], [0.754, 0.250, 0.589], [0.237, 0.544, 0.511], [0.235, 0.750, 0.244], [0.676, 0.908, 0.349], [0.757, 0.584, 0.439], [0.893, 0.461, 0.818], [0.701, 0.875, 0.875], [0.688, 0.418, 0.116], [0.878, 0.750, 0.625], [0.243, 0.416, 0.561], [0.893, 0.039, 0.818], [0.701, 0.625, 0.875], [0.763, 0.456, 0.489], [0.205, 0.250, 0.498], [0.763, 0.044, 0.489], [0.891, 0.625, 0.678], [0.413, 0.750, 0.883], [0.392, 0.457, 0.871], [0.109, 0.375, 0.322], [0.152, 0.929, 0.871], [0.243, 0.084, 0.561], [0.324, 0.408, 0.651], [0.757, 0.916, 0.439], [0.312, 0.582, 0.884], [0.381, 0.250, 0.115], [0.122, 0.250, 0.375], [0.392, 0.043, 0.871], [0.299, 0.375, 0.125], [0.152, 0.571, 0.871], [0.608, 0.543, 0.129], [0.107, 0.961, 0.182], [0.619, 0.750, 0.885], [0.237, 0.956, 0.511], [0.848, 0.071, 0.129], [0.324, 0.092, 0.651], [0.246, 0.750, 0.411], [0.765, 0.250, 0.756], [0.795, 0.750, 0.502], [0.676, 0.592, 0.349], [0.688, 0.082, 0.116], [0.299, 0.125, 0.125], [0.891, 0.875, 0.678], [0.587, 0.250, 0.117], [0.505, 0.250, 0.793], [0.848, 0.429, 0.129], [0.608, 0.957, 0.129], [0.109, 0.125, 0.322]]}